1.
Material: NdHgSb
Method: DFT, GGA-PBE
State: optimized geometry

Structure (extended XYZ):
```
3
Lattice="0.000 3.662 3.662 3.662 0.000 3.662 3.662 3.662 0.000" Properties=species:S:1:pos:R:3 pbc="T T T"
Nd 0.000 0.000 0.000
Hg 3.662 3.662 3.662
Sb 5.493 5.493 5.493
```

Computed properties:
- Energy above the lowest structure with this stoichiometry: 0.2176 eV per atom
- Energy: -3.38 eV per atom

***

2.
Material: Nd2HgSb2
Method: DFT, GGA-PBE
State: optimized geometry

Structure (extended XYZ):
```
10
Lattice="2.238 -9.704 0.000 2.238 9.704 0.000 0.000 0.000 6.782" Properties=species:S:1:pos:R:3 pbc="T T T"
Nd 2.238 9.466 3.391
Nd 2.238 5.791 1.159
Nd 2.238 -5.791 4.549
Nd 2.238 -9.466 0.000
Hg 2.238 1.813 2.030
Hg 2.238 -1.813 5.421
Sb 2.238 6.215 4.540
Sb 2.238 1.769 5.020
Sb 2.238 -1.769 1.629
Sb 2.238 -6.215 1.150
```

Computed properties:
- Energy: -4.37 eV per atom

***

3.
Material: NdHgSb
Method: DFT, GGA-PBE
State: optimized geometry

Structure (extended XYZ):
```
3
Lattice="0.000 3.691 3.691 3.691 0.000 3.691 3.691 3.691 0.000" Properties=species:S:1:pos:R:3 pbc="T T T"
Nd 0.000 0.000 0.000
Hg 5.536 5.536 5.536
Sb 1.845 1.845 1.845
```

Computed properties:
- Energy above the lowest structure with this stoichiometry: 0.0000 eV per atom
- Energy: -3.60 eV per atom

***

4.
Material: NdTlHg3Se4
Method: DFT, GGA-PBE
State: optimized geometry

Structure (extended XYZ):
```
9
Lattice="6.920 0.000 0.000 0.000 6.920 0.000 0.000 0.000 6.920" Properties=species:S:1:pos:R:3 pbc="T T T"
Nd 0.000 0.000 0.000
Tl 3.460 3.460 3.460
Hg 0.000 0.000 3.460
Hg 0.000 3.460 0.000
Hg 3.460 0.000 0.000
Se 1.607 1.607 5.313
Se 1.607 5.313 1.607
Se 5.313 1.607 1.607
Se 5.313 5.313 5.313
```

Computed properties:
- Energy: -2.92 eV per atom

***

5.
Material: NdSmHg
Method: DFT, GGA-PBE
State: optimized geometry

Structure (extended XYZ):
```
3
Lattice="0.000 3.690 3.690 3.690 0.000 3.690 3.690 3.690 0.000" Properties=species:S:1:pos:R:3 pbc="T T T"
Nd 0.000 0.000 0.000
Sm 3.690 3.690 3.690
Hg 1.845 1.845 1.845
```

Computed properties:
- Energy above the lowest structure with this stoichiometry: 0.0000 eV per atom
- Energy: -3.36 eV per atom
- ΔH_f (0 K): -0.1006 eV per atom

***

6.
Material: TbNdHg6
Method: DFT, GGA-PBE
State: optimized geometry

Structure (extended XYZ):
```
8
Lattice="6.653 0.000 0.000 -3.326 5.762 0.000 0.000 0.000 5.028" Properties=species:S:1:pos:R:3 pbc="T T T"
Tb 0.000 0.000 0.000
Nd 0.000 3.841 2.514
Hg 1.663 0.960 2.514
Hg 3.326 0.041 0.000
Hg 1.699 2.860 0.000
Hg 4.990 0.960 2.514
Hg 3.326 3.841 2.514
Hg 4.954 2.860 0.000
```

Computed properties:
- Energy: -1.77 eV per atom
- ΔH_f (0 K): -0.3712 eV per atom

***

7.
Material: Tb2NdHg5
Method: DFT, GGA-PBE
State: optimized geometry

Structure (extended XYZ):
```
8
Lattice="-2.623 2.623 7.352 2.623 -2.623 7.352 2.623 2.623 -7.352" Properties=species:S:1:pos:R:3 pbc="T T T"
Tb 0.000 0.000 3.420
Tb 0.000 0.000 11.283
Nd 0.000 0.000 7.352
Hg 0.000 0.000 0.000
Hg 2.623 0.000 1.873
Hg 2.623 0.000 5.479
Hg 0.000 2.623 1.873
Hg 0.000 2.623 5.479
```

Computed properties:
- Energy: -2.39 eV per atom
- ΔH_f (0 K): -0.4477 eV per atom

***

8.
Material: NdTlHgTe3
Method: DFT, GGA-PBE
State: optimized geometry

Structure (extended XYZ):
```
12
Lattice="9.913 -2.245 0.000 9.913 2.245 0.000 -2.152 0.000 9.286" Properties=species:S:1:pos:R:3 pbc="T T T"
Nd 3.252 0.000 0.857
Nd 14.421 0.000 8.429
Tl 1.357 0.000 5.389
Tl 16.317 0.000 3.897
Hg 7.446 0.000 7.215
Hg 10.227 0.000 2.071
Te 0.000 0.000 0.000
Te 4.752 0.000 6.189
Te 6.330 0.000 1.299
Te 8.837 0.000 4.643
Te 11.343 0.000 7.987
Te 12.921 0.000 3.097
```

Computed properties:
- Energy above the lowest structure with this stoichiometry: 0.0804 eV per atom
- Energy: -3.47 eV per atom

***

9.
Material: NdTlHgTe3
Method: DFT, GGA-PBE
State: optimized geometry

Structure (extended XYZ):
```
12
Lattice="8.815 0.000 0.000 0.000 4.513 0.000 -3.209 0.000 10.656" Properties=species:S:1:pos:R:3 pbc="T T T"
Nd 1.254 1.128 1.510
Nd 4.352 3.385 9.146
Tl -0.169 3.385 7.571
Tl 5.775 1.128 3.085
Hg 2.424 3.385 4.064
Hg 3.181 1.128 6.591
Te -2.236 1.128 9.057
Te 0.736 1.128 4.777
Te 3.521 3.385 1.466
Te 2.085 1.128 9.190
Te 4.870 3.385 5.879
Te 7.842 3.385 1.598
```

Computed properties:
- Energy above the lowest structure with this stoichiometry: 0.0244 eV per atom
- Energy: -3.53 eV per atom

***

10.
Material: NdTlHgTe3
Method: DFT, GGA-PBE
State: optimized geometry

Structure (extended XYZ):
```
24
Lattice="9.037 0.000 0.000 0.000 4.704 0.000 0.000 0.000 18.778" Properties=species:S:1:pos:R:3 pbc="T T T"
Nd 2.007 1.176 0.773
Nd 2.511 3.528 10.162
Nd 6.525 1.176 8.616
Nd 7.030 3.528 18.005
Tl 0.680 1.176 15.112
Tl 3.838 3.528 5.723
Tl 5.199 1.176 13.056
Tl 8.357 3.528 3.667
Hg 0.421 1.176 6.342
Hg 4.097 3.528 15.731
Hg 4.939 1.176 3.047
Hg 8.616 3.528 12.436
Te 0.055 1.176 10.783
Te 1.159 3.528 17.634
Te 1.945 1.176 3.955
Te 2.574 3.528 13.344
Te 3.359 1.176 8.245
Te 4.463 3.528 1.394
Te 4.573 1.176 17.385
Te 5.677 3.528 10.534
Te 6.463 1.176 5.435
Te 7.092 3.528 14.824
Te 7.878 1.176 1.144
Te 8.982 3.528 7.995
```

Computed properties:
- Energy above the lowest structure with this stoichiometry: 0.0648 eV per atom
- Energy: -3.49 eV per atom

***

11.
Material: NdTlHgTe3
Method: DFT, GGA-PBE
State: optimized geometry

Structure (extended XYZ):
```
12
Lattice="2.246 -7.738 0.000 2.246 7.738 0.000 0.000 0.000 11.792" Properties=species:S:1:pos:R:3 pbc="T T T"
Nd 0.000 0.000 0.000
Nd 0.000 0.000 5.896
Tl 2.246 4.019 8.844
Tl 2.246 -4.019 2.948
Hg 2.246 0.565 2.948
Hg 2.246 -0.565 8.844
Te 2.246 6.438 2.948
Te 2.246 2.197 0.629
Te 2.246 2.197 5.267
Te 2.246 -2.197 6.525
Te 2.246 -2.197 11.163
Te 2.246 -6.438 8.844
```

Computed properties:
- Energy above the lowest structure with this stoichiometry: 0.0015 eV per atom
- Energy: -3.55 eV per atom

***

12.
Material: NdTlHgTe3
Method: DFT, GGA-PBE
State: optimized geometry

Structure (extended XYZ):
```
24
Lattice="15.309 0.000 0.000 0.000 4.541 0.000 0.000 0.000 12.064" Properties=species:S:1:pos:R:3 pbc="T T T"
Nd 0.433 1.135 1.914
Nd 7.221 3.406 7.946
Nd 8.088 1.135 4.118
Nd 14.876 3.406 10.150
Tl 3.650 1.135 5.476
Tl 4.005 3.406 11.508
Tl 11.304 1.135 0.556
Tl 11.659 3.406 6.588
Hg 0.305 3.406 4.711
Hg 7.350 1.135 10.743
Hg 7.959 3.406 1.321
Hg 15.004 1.135 7.353
Te 1.509 3.406 7.482
Te 1.584 1.135 11.076
Te 2.479 3.406 2.879
Te 5.175 1.135 8.911
Te 6.071 3.406 5.044
Te 6.146 1.135 1.450
Te 9.163 3.406 10.614
Te 9.238 1.135 7.020
Te 10.134 3.406 3.153
Te 12.830 1.135 9.185
Te 13.725 3.406 0.988
Te 13.800 1.135 4.582
```

Computed properties:
- Energy above the lowest structure with this stoichiometry: 0.0189 eV per atom
- Energy: -3.53 eV per atom